# Ac4Pm3Pr PBE relaxed
data_Ac4Pm3Pr
_chemical_formula_sum 'Ac8 Pm6 Pr2'
_cell_length_a 10.9629
_cell_length_b 7.6022
_cell_length_c 7.6062
_cell_angle_alpha 90.00
_cell_angle_beta 90.00
_cell_angle_gamma 90.00
_symmetry_space_group_name_H-M 'P m n 21'
_symmetry_Int_Tables_number 31
loop_
_symmetry_equiv_pos_as_xyz
'x,y,z'
'-x+1/2,-y,z+1/2'
'-x,y,z'
'x+1/2,-y,z+1/2'
loop_
_atom_site_label
_atom_site_fract_x
_atom_site_fract_y
_atom_site_fract_z
Ac1 0.0000 0.0009 0.0000
Ac2 0.0000 0.4991 0.4988
Ac3 0.2489 0.7508 0.7494
Pm1 0.0000 0.0003 0.4991
Pm2 0.2502 0.2490 0.7494
Pr1 0.0000 0.4995 0.9998
# E_form in eV per atom: 0.03
# Total energy in eV/atom: -4.40
# DOS at the Fermi energy in states/eV per cell: 28.06
# Spin magnetization in μB per atom: 0.00